# Li2AcTl2In | the Alexandria database | PBE-GGA | optimized geometry
# Total magnetization: 0.000 μB per atom
# VASP energy: -16.03 eV for the cell shown
# ΔE_f: -2.4 kcal/mol of atoms
data_Li2AcTl2In
_chemical_formula_sum 'Li2 Ac1 Tl2 In1'
_cell_length_a 3.917
_cell_length_b 3.917
_cell_length_c 12.650
_cell_angle_alpha 81.09
_cell_angle_beta 81.09
_cell_angle_gamma 60.00
_symmetry_space_group_name_H-M 'P 1'
_symmetry_Int_Tables_number 1
_symmetry_space_group_name_Hall 'P 1'
loop_
_atom_site_label
_atom_site_fract_x
_atom_site_fract_y
_atom_site_fract_z
Li1 0.786 0.786 0.641
Li2 0.214 0.214 0.359
Ac1 0.000 0.000 0.000
Tl1 0.594 0.594 0.217
Tl2 0.406 0.406 0.783
In1 0.500 0.500 0.500



# Be2Ag2Sb | the Alexandria database | PBE-GGA | optimized geometry
# Total magnetization: 0.000 μB per atom
# VASP energy: -30.66 eV for the cell shown
# Formation energy without anion corrections: 0.390 eV per atom
data_Be2Ag2Sb
_chemical_formula_sum 'Be4 Ag4 Sb2'
_cell_length_a 7.151
_cell_length_b 7.151
_cell_length_c 3.172
_cell_angle_alpha 90.00
_cell_angle_beta 90.00
_cell_angle_gamma 90.00
_symmetry_space_group_name_H-M 'P 1'
_symmetry_Int_Tables_number 1
_symmetry_space_group_name_Hall 'P 1'
loop_
_atom_site_label
_atom_site_fract_x
_atom_site_fract_y
_atom_site_fract_z
Sb1 0.000 0.000 0.000
Sb2 0.500 0.500 0.000
Ag1 0.150 0.650 0.500
Ag2 0.650 0.850 0.500
Ag3 0.850 0.350 0.500
Ag4 0.350 0.150 0.500
Be1 0.370 0.870 0.000
Be2 0.870 0.630 0.000
Be3 0.630 0.130 0.000
Be4 0.130 0.370 0.000



# KTa2Si | the Alexandria database | PBE-GGA | optimized geometry
# Total magnetization: 0.000 μB per atom
# VASP energy: -25.67 eV for the cell shown
# Formation energy without anion corrections: 1.140 eV per atom
data_KTa2Si
_chemical_formula_sum 'K1 Ta2 Si1'
_cell_length_a 4.819
_cell_length_b 4.819
_cell_length_c 4.819
_cell_angle_alpha 120.24
_cell_angle_beta 120.24
_cell_angle_gamma 89.58
_symmetry_space_group_name_H-M 'P 1'
_symmetry_Int_Tables_number 1
_symmetry_space_group_name_Hall 'P 1'
loop_
_atom_site_label
_atom_site_fract_x
_atom_site_fract_y
_atom_site_fract_z
K1 0.500 0.500 0.000
Si1 0.750 0.250 0.500
Ta1 0.000 0.000 0.000
Ta2 0.250 0.750 0.500



# CeSm8Y2 | the Alexandria database | PBE-GGA | optimized geometry
# Total magnetization: 0.086 μB per atom
# VASP energy: -56.20 eV for the cell shown
# ΔE_f: 0.9 kcal/mol of atoms
data_CeSm8Y2
_chemical_formula_sum 'Ce1 Sm8 Y2'
_cell_length_a 5.106
_cell_length_b 8.071
_cell_length_c 9.557
_cell_angle_alpha 104.70
_cell_angle_beta 105.49
_cell_angle_gamma 90.00
_symmetry_space_group_name_H-M 'P 1'
_symmetry_Int_Tables_number 1
_symmetry_space_group_name_Hall 'P 1'
loop_
_atom_site_label
_atom_site_fract_x
_atom_site_fract_y
_atom_site_fract_z
Ce1 0.500 0.000 0.000
Sm1 0.591 0.453 0.181
Sm2 0.320 0.091 0.639
Sm3 0.136 0.181 0.271
Sm4 0.045 0.731 0.090
Sm5 0.864 0.819 0.729
Sm6 0.680 0.909 0.361
Sm7 0.409 0.547 0.819
Sm8 0.955 0.269 0.910
Y1 0.228 0.637 0.456
Y2 0.772 0.363 0.544



# ZrOs2Br | the Alexandria database | PBE-GGA | optimized geometry
# Total magnetization: 0.000 μB per atom
# VASP energy: -32.20 eV for the cell shown
# Formation energy without anion corrections: 0.120 eV per atom
data_ZrOs2Br
_chemical_formula_sum 'Zr1 Os2 Br1'
_cell_length_a 3.718
_cell_length_b 3.034
_cell_length_c 7.542
_cell_angle_alpha 78.40
_cell_angle_beta 90.00
_cell_angle_gamma 90.00
_symmetry_space_group_name_H-M 'P 1'
_symmetry_Int_Tables_number 1
_symmetry_space_group_name_Hall 'P 1'
loop_
_atom_site_label
_atom_site_fract_x
_atom_site_fract_y
_atom_site_fract_z
Os1 0.000 0.758 0.109
Os2 0.500 0.200 0.224
Br1 0.500 0.961 0.703
Zr1 0.000 0.581 0.464



# LaNdZnOs | the Alexandria database | PBE-GGA | optimized geometry
# Total magnetization: 0.000 μB per atom
# VASP energy: -22.62 eV for the cell shown
# ΔE_f: -2.4 kcal/mol of atoms
data_LaNdZnOs
_chemical_formula_sum 'La1 Nd1 Zn1 Os1'
_cell_length_a 5.119
_cell_length_b 5.119
_cell_length_c 5.119
_cell_angle_alpha 60.00
_cell_angle_beta 60.00
_cell_angle_gamma 60.00
_symmetry_space_group_name_H-M 'P 1'
_symmetry_Int_Tables_number 1
_symmetry_space_group_name_Hall 'P 1'
loop_
_atom_site_label
_atom_site_fract_x
_atom_site_fract_y
_atom_site_fract_z
Nd1 0.250 0.250 0.250
Zn1 0.000 0.000 0.000
Os1 0.500 0.500 0.500
La1 0.750 0.750 0.750



# Ga2Ni2Pd | the Alexandria database | PBE-GGA | optimized geometry
# Total magnetization: 0.000 μB per atom
# VASP energy: -23.99 eV for the cell shown
# ΔE_f: -5.4 kcal/mol of atoms
data_Ga2Ni2Pd
_chemical_formula_sum 'Ga2 Ni2 Pd1'
_cell_length_a 3.521
_cell_length_b 3.521
_cell_length_c 6.248
_cell_angle_alpha 73.63
_cell_angle_beta 73.63
_cell_angle_gamma 90.00
_symmetry_space_group_name_H-M 'P 1'
_symmetry_Int_Tables_number 1
_symmetry_space_group_name_Hall 'P 1'
loop_
_atom_site_label
_atom_site_fract_x
_atom_site_fract_y
_atom_site_fract_z
Ni1 0.750 0.250 0.500
Ni2 0.250 0.750 0.500
Ga1 0.390 0.390 0.219
Ga2 0.610 0.610 0.781
Pd1 0.000 0.000 0.000



# AlAg2Os | the Alexandria database | PBE-GGA | optimized geometry
# Total magnetization: 0.000 μB per atom
# VASP energy: -19.64 eV for the cell shown
# ΔE_f: 6.0 kcal/mol of atoms
data_AlAg2Os
_chemical_formula_sum 'Al1 Ag2 Os1'
_cell_length_a 5.167
_cell_length_b 5.167
_cell_length_c 5.047
_cell_angle_alpha 66.49
_cell_angle_beta 66.49
_cell_angle_gamma 31.45
_symmetry_space_group_name_H-M 'P 1'
_symmetry_Int_Tables_number 1
_symmetry_space_group_name_Hall 'P 1'
loop_
_atom_site_label
_atom_site_fract_x
_atom_site_fract_y
_atom_site_fract_z
Os1 0.238 0.238 0.342
Al1 0.505 0.505 0.407
Ag1 0.998 0.998 0.936
Ag2 0.759 0.759 0.815



# Li2Pm2O3F2 | the Alexandria database | PBE-GGA | optimized geometry
# Total magnetization: 0.000 μB per atom
# VASP energy: -59.34 eV for the cell shown
# Formation energy without anion corrections: -3.044 eV per atom
data_Li2Pm2O3F2
_chemical_formula_sum 'Li2 Pm2 O3 F2'
_cell_length_a 3.902
_cell_length_b 3.902
_cell_length_c 7.916
_cell_angle_alpha 104.27
_cell_angle_beta 104.27
_cell_angle_gamma 90.00
_symmetry_space_group_name_H-M 'P 1'
_symmetry_Int_Tables_number 1
_symmetry_space_group_name_Hall 'P 1'
loop_
_atom_site_label
_atom_site_fract_x
_atom_site_fract_y
_atom_site_fract_z
Li1 0.500 0.000 0.000
Li2 0.000 0.500 0.000
Pm1 0.169 0.169 0.339
Pm2 0.831 0.831 0.661
O1 0.000 0.000 0.000
O2 0.250 0.750 0.500
O3 0.750 0.250 0.500
F1 0.593 0.593 0.186
F2 0.407 0.407 0.814



# TaZnIrF2 | the Alexandria database | PBE-GGA | optimized geometry
# Total magnetization: 0.000 μB per atom
# VASP energy: -27.91 eV for the cell shown
# Formation energy without anion corrections: -0.436 eV per atom
data_TaZnIrF2
_chemical_formula_sum 'Ta1 Zn1 Ir1 F2'
_cell_length_a 3.890
_cell_length_b 5.530
_cell_length_c 3.890
_cell_angle_alpha 90.00
_cell_angle_beta 90.00
_cell_angle_gamma 90.00
_symmetry_space_group_name_H-M 'P 1'
_symmetry_Int_Tables_number 1
_symmetry_space_group_name_Hall 'P 1'
loop_
_atom_site_label
_atom_site_fract_x
_atom_site_fract_y
_atom_site_fract_z
Zn1 0.000 0.500 0.000
Ir1 0.500 0.500 0.500
F1 0.000 0.000 0.500
F2 0.500 0.000 0.000
Ta1 0.000 0.000 0.000



# HfAlV | the Alexandria database | PBE-GGA | optimized geometry
# Total magnetization: 0.219 μB per atom
# VASP energy: -22.70 eV for the cell shown
# ΔE_f: 0.9 kcal/mol of atoms
data_HfAlV
_chemical_formula_sum 'Hf1 Al1 V1'
_cell_length_a 2.777
_cell_length_b 4.606
_cell_length_c 4.606
_cell_angle_alpha 120.00
_cell_angle_beta 90.00
_cell_angle_gamma 90.00
_symmetry_space_group_name_H-M 'P 1'
_symmetry_Int_Tables_number 1
_symmetry_space_group_name_Hall 'P 1'
loop_
_atom_site_label
_atom_site_fract_x
_atom_site_fract_y
_atom_site_fract_z
Hf1 0.167 0.667 0.333
Al1 0.666 0.333 0.667
V1 0.167 0.000 0.000



# Mg17Bi2 | the Alexandria database | PBE-GGA | optimized geometry
# Total magnetization: 0.000 μB per atom
# VASP energy: -33.45 eV for the cell shown
# ΔE_f: 1.7 kcal/mol of atoms
data_Mg17Bi2
_chemical_formula_sum 'Mg17 Bi2'
_cell_length_a 7.961
_cell_length_b 7.961
_cell_length_c 7.961
_cell_angle_alpha 79.85
_cell_angle_beta 79.85
_cell_angle_gamma 79.85
_symmetry_space_group_name_H-M 'P 1'
_symmetry_Int_Tables_number 1
_symmetry_space_group_name_Hall 'P 1'
loop_
_atom_site_label
_atom_site_fract_x
_atom_site_fract_y
_atom_site_fract_z
Mg1 0.341 0.341 0.838
Mg2 0.341 0.838 0.341
Mg3 0.090 0.090 0.090
Mg4 0.910 0.910 0.910
Mg5 0.000 0.000 0.500
Mg6 0.500 0.000 0.000
Mg7 0.000 0.500 0.000
Mg8 0.317 0.683 0.000
Mg9 0.000 0.317 0.683
Mg10 0.683 0.000 0.317
Mg11 0.683 0.317 0.000
Mg12 0.000 0.683 0.317
Mg13 0.317 0.000 0.683
Mg14 0.659 0.162 0.659
Mg15 0.659 0.659 0.162
Mg16 0.162 0.659 0.659
Mg17 0.838 0.341 0.341
Bi1 0.716 0.716 0.716
Bi2 0.284 0.284 0.284



# Sr2TePd2 | the Alexandria database | PBE-GGA | optimized geometry
# Total magnetization: 0.000 μB per atom
# VASP energy: -21.04 eV for the cell shown
# Formation energy without anion corrections: -0.831 eV per atom
data_Sr2TePd2
_chemical_formula_sum 'Sr2 Te1 Pd2'
_cell_length_a 4.014
_cell_length_b 4.014
_cell_length_c 9.076
_cell_angle_alpha 77.23
_cell_angle_beta 77.23
_cell_angle_gamma 90.00
_symmetry_space_group_name_H-M 'P 1'
_symmetry_Int_Tables_number 1
_symmetry_space_group_name_Hall 'P 1'
loop_
_atom_site_label
_atom_site_fract_x
_atom_site_fract_y
_atom_site_fract_z
Sr1 0.387 0.387 0.225
Sr2 0.613 0.613 0.775
Te1 0.000 0.000 0.000
Pd1 0.750 0.250 0.500
Pd2 0.250 0.750 0.500



# AgWBr | the Alexandria database | PBE-GGA | optimized geometry
# Total magnetization: 0.000 μB per atom
# VASP energy: -15.60 eV for the cell shown
# Formation energy without anion corrections: 0.625 eV per atom
data_AgWBr
_chemical_formula_sum 'Ag1 W1 Br1'
_cell_length_a 3.091
_cell_length_b 3.091
_cell_length_c 7.109
_cell_angle_alpha 90.00
_cell_angle_beta 90.00
_cell_angle_gamma 120.00
_symmetry_space_group_name_H-M 'P 1'
_symmetry_Int_Tables_number 1
_symmetry_space_group_name_Hall 'P 1'
loop_
_atom_site_label
_atom_site_fract_x
_atom_site_fract_y
_atom_site_fract_z
Br1 0.333 0.667 0.384
Ag1 0.000 0.000 0.965
W1 0.667 0.333 0.650



# LiBiPb2 | the Alexandria database | PBE-GGA | optimized geometry
# Total magnetization: 0.000 μB per atom
# VASP energy: -26.59 eV for the cell shown
# ΔE_f: -0.5 kcal/mol of atoms
data_LiBiPb2
_chemical_formula_sum 'Li2 Bi2 Pb4'
_cell_length_a 8.644
_cell_length_b 8.644
_cell_length_c 6.894
_cell_angle_alpha 51.18
_cell_angle_beta 51.18
_cell_angle_gamma 90.00
_symmetry_space_group_name_H-M 'P 1'
_symmetry_Int_Tables_number 1
_symmetry_space_group_name_Hall 'P 1'
loop_
_atom_site_label
_atom_site_fract_x
_atom_site_fract_y
_atom_site_fract_z
Pb1 0.615 0.125 0.250
Pb2 0.135 0.625 0.250
Pb3 0.375 0.385 0.750
Pb4 0.875 0.865 0.750
Bi1 0.000 0.000 0.000
Bi2 0.750 0.250 0.500
Li1 0.500 0.500 0.000
Li2 0.250 0.750 0.500



# PbCl4 | the Alexandria database | PBE-GGA | optimized geometry
# Total magnetization: 0.000 μB per atom
# VASP energy: -28.32 eV for the cell shown
# Formation energy without anion corrections: -0.613 eV per atom
data_PbCl4
_chemical_formula_sum 'Pb2 Cl8'
_cell_length_a 7.000
_cell_length_b 7.000
_cell_length_c 11.522
_cell_angle_alpha 65.65
_cell_angle_beta 65.65
_cell_angle_gamma 49.94
_symmetry_space_group_name_H-M 'P 1'
_symmetry_Int_Tables_number 1
_symmetry_space_group_name_Hall 'P 1'
loop_
_atom_site_label
_atom_site_fract_x
_atom_site_fract_y
_atom_site_fract_z
Pb1 0.283 0.717 0.250
Pb2 0.717 0.283 0.750
Cl1 0.923 0.826 0.192
Cl2 0.077 0.174 0.808
Cl3 0.359 0.391 0.933
Cl4 0.609 0.641 0.567
Cl5 0.174 0.077 0.308
Cl6 0.826 0.923 0.692
Cl7 0.641 0.609 0.067
Cl8 0.391 0.359 0.433



# In2TePtS | the Alexandria database | PBE-GGA | optimized geometry
# Total magnetization: 0.000 μB per atom
# VASP energy: -15.83 eV for the cell shown
# Formation energy without anion corrections: 0.592 eV per atom
data_In2TePtS
_chemical_formula_sum 'In2 Te1 Pt1 S1'
_cell_length_a 5.865
_cell_length_b 4.856
_cell_length_c 5.865
_cell_angle_alpha 90.00
_cell_angle_beta 90.00
_cell_angle_gamma 90.00
_symmetry_space_group_name_H-M 'P 1'
_symmetry_Int_Tables_number 1
_symmetry_space_group_name_Hall 'P 1'
loop_
_atom_site_label
_atom_site_fract_x
_atom_site_fract_y
_atom_site_fract_z
S1 0.500 0.500 0.500
Te1 0.000 0.000 0.000
Pt1 0.000 0.500 0.000
In1 0.000 0.000 0.500
In2 0.500 0.000 0.000



# MnCo3Si | the Alexandria database | PBE-GGA | optimized geometry
# Total magnetization: 0.267 μB per atom
# VASP energy: -29.82 eV for the cell shown
# Formation energy without anion corrections: 1.218 eV per atom
data_MnCo3Si
_chemical_formula_sum 'Mn1 Co3 Si1'
_cell_length_a 4.132
_cell_length_b 4.132
_cell_length_c 4.132
_cell_angle_alpha 90.00
_cell_angle_beta 90.00
_cell_angle_gamma 90.00
_symmetry_space_group_name_H-M 'P 1'
_symmetry_Int_Tables_number 1
_symmetry_space_group_name_Hall 'P 1'
loop_
_atom_site_label
_atom_site_fract_x
_atom_site_fract_y
_atom_site_fract_z
Si1 0.500 0.500 0.500
Mn1 0.000 0.000 0.000
Co1 0.000 0.500 0.000
Co2 0.000 0.000 0.500
Co3 0.500 0.000 0.000



# Rb4P2Pd | the Alexandria database | PBE-GGA | optimized geometry
# Total magnetization: 0.284 μB per atom
# VASP energy: -21.69 eV for the cell shown
# ΔE_f: -5.9 kcal/mol of atoms
data_Rb4P2Pd
_chemical_formula_sum 'Rb4 P2 Pd1'
_cell_length_a 5.867
_cell_length_b 5.867
_cell_length_c 9.758
_cell_angle_alpha 72.50
_cell_angle_beta 72.50
_cell_angle_gamma 60.00
_symmetry_space_group_name_H-M 'P 1'
_symmetry_Int_Tables_number 1
_symmetry_space_group_name_Hall 'P 1'
loop_
_atom_site_label
_atom_site_fract_x
_atom_site_fract_y
_atom_site_fract_z
Rb1 0.375 0.375 0.875
Rb2 0.210 0.210 0.370
Rb3 0.790 0.790 0.630
Rb4 0.625 0.625 0.125
P1 0.083 0.083 0.751
P2 0.917 0.917 0.249
Pd1 0.000 0.000 0.000



# TmBiI | the Alexandria database | PBE-GGA | optimized geometry
# Total magnetization: 0.000 μB per atom
# VASP energy: -11.38 eV for the cell shown
# Formation energy without anion corrections: -0.494 eV per atom
data_TmBiI
_chemical_formula_sum 'Tm1 Bi1 I1'
_cell_length_a 3.718
_cell_length_b 5.318
_cell_length_c 5.318
_cell_angle_alpha 120.00
_cell_angle_beta 90.00
_cell_angle_gamma 90.00
_symmetry_space_group_name_H-M 'P 1'
_symmetry_Int_Tables_number 1
_symmetry_space_group_name_Hall 'P 1'
loop_
_atom_site_label
_atom_site_fract_x
_atom_site_fract_y
_atom_site_fract_z
I1 0.166 0.333 0.667
Tm1 0.167 0.000 0.000
Bi1 0.667 0.667 0.333



no.,DOS at the Fermi energy (states/eV/cell)
1,3.7
2,4.2
3,3.6
4,19.1
5,2.7
6,5.0
7,2.7
8,2.2
9,0.0
10,8.3
11,3.0
12,10.3
13,1.4
14,2.4
15,3.5
16,0.0
17,4.5
18,7.6
19,3.0
20,2.5